Entry 1:
Density functional theory data (PBE) for crystalline Sr3SmEr3Te8 at its relaxed geometry.

POSCAR file:
```
Sr3SmEr3Te8
1.0
8.863 0.000 0.000
-4.432 7.675 -0.029
0.000 -5.090 7.610
Er Te Sm Sr
3 8 1 3
Direct
0.500 0.500 0.500
0.000 0.500 0.500
0.500 0.000 0.500
0.750 0.500 0.267
0.743 0.486 0.728
0.733 0.983 0.733
0.257 0.514 0.272
0.750 0.017 0.267
0.250 0.983 0.733
0.250 0.500 0.733
0.267 0.017 0.267
0.000 0.000 0.500
0.000 0.500 0.000
0.500 0.500 0.000
0.000 0.000 0.000
```

Uncorrected energy, hartree per atom: -0.1741
DOS at the Fermi energy, states/eV/f.u.: 5.18
M_tot, μB per atom: 0.000
SG: R-3m
ΔE_f (raw), eV per formula unit: -22.484

Entry 2:
Density functional theory data (PBE) for crystalline CaPrPS at its relaxed geometry.

POSCAR file:
```
CaPrPS
1.0
-3.602 0.374 2.054
-0.090 -0.433 4.140
-0.135 6.601 2.782
Pr Ca S P
1 1 1 1
Direct
0.254 0.254 0.239
0.749 0.749 0.754
0.499 0.499 0.503
0.999 0.999 0.004
```

Uncorrected energy, hartree per atom: -0.2141
M_tot, μB per atom: 0.000
SG: R3m
ΔE_f (raw), eV per formula unit: -6.990

Entry 3:
Density functional theory data (PBE) for crystalline TcSbSe at its relaxed geometry.

POSCAR file:
```
TcSbSe
1.0
-4.629 1.888 -4.223
-4.592 -2.988 3.697
1.622 6.303 1.041
Se Tc Sb
4 4 4
Direct
0.632 0.157 0.337
0.132 0.843 0.163
0.368 0.843 0.663
0.868 0.157 0.837
0.508 0.232 0.736
0.992 0.232 0.236
0.008 0.768 0.764
0.492 0.768 0.264
0.651 0.658 0.846
0.349 0.342 0.154
0.849 0.658 0.346
0.151 0.342 0.654
```

Uncorrected energy, hartree per atom: -0.2287
DOS at the Fermi energy, states/eV/f.u.: 0.46
M_tot, μB per atom: 0.000
SG: P2_1/c
ΔE_f (raw), eV per formula unit: -0.701

Entry 4:
Density functional theory data (PBE) for crystalline Tm2AgHg2 at its relaxed geometry.

POSCAR file:
```
Tm2AgHg2
1.0
-1.728 -3.987 3.895
1.920 -4.627 -3.885
6.005 4.447 2.843
Tm Ag Hg
4 2 4
Direct
0.331 0.537 0.663
0.169 0.875 0.337
0.831 0.125 0.663
0.669 0.463 0.337
0.750 0.500 0.000
0.250 0.500 0.000
0.105 0.268 0.211
0.395 0.057 0.789
0.895 0.732 0.789
0.605 0.943 0.211
```

Uncorrected energy, hartree per atom: -0.0996
Formation energy, eV/f.u.: -1.154
DOS at the Fermi energy, states/eV/f.u.: 3.33
M_tot, μB per atom: 0.000
SG: Ibam

Entry 5:
Density functional theory data (PBE) for crystalline Li2PmDy at its relaxed geometry.

POSCAR file:
```
Li2PmDy
1.0
-2.698 2.525 -0.628
-1.978 -2.578 -1.868
-3.399 -2.037 6.410
Pm Li Dy
1 2 1
Direct
0.500 0.500 0.500
0.000 0.000 0.755
0.000 0.000 0.245
0.500 0.500 0.000
```

Uncorrected energy, hartree per atom: -0.1155
Formation energy, eV/f.u.: 0.613
DOS at the Fermi energy, states/eV/f.u.: 4.74
M_tot, μB per atom: 0.000
SG: P4/mmm

Entry 6:
Density functional theory data (PBE) for crystalline LaSnAuSe at its relaxed geometry.

POSCAR file:
```
LaSnAuSe
1.0
-2.587 0.496 3.932
-3.507 -3.041 0.924
5.580 -7.836 7.509
La Au Sn Se
2 2 2 2
Direct
0.108 0.108 0.675
0.892 0.892 0.325
0.381 0.381 0.858
0.619 0.619 0.142
0.299 0.299 0.102
0.701 0.701 0.898
0.803 0.803 0.591
0.197 0.197 0.409
```

Uncorrected energy, hartree per atom: -0.1817
DOS at the Fermi energy, states/eV/f.u.: 2.09
M_tot, μB per atom: 0.000
SG: R-3m
ΔE_f (raw), eV per formula unit: -4.083

Question: What is the formula in the second record?
Answer: CaPrPS

Please write out number 4 again, unchanged.
Density functional theory data (PBE) for crystalline Tm2AgHg2 at its relaxed geometry.

POSCAR file:
```
Tm2AgHg2
1.0
-1.728 -3.987 3.895
1.920 -4.627 -3.885
6.005 4.447 2.843
Tm Ag Hg
4 2 4
Direct
0.331 0.537 0.663
0.169 0.875 0.337
0.831 0.125 0.663
0.669 0.463 0.337
0.750 0.500 0.000
0.250 0.500 0.000
0.105 0.268 0.211
0.395 0.057 0.789
0.895 0.732 0.789
0.605 0.943 0.211
```

Uncorrected energy, hartree per atom: -0.0996
Formation energy, eV/f.u.: -1.154
DOS at the Fermi energy, states/eV/f.u.: 3.33
M_tot, μB per atom: 0.000
SG: Ibam

What did the fourth record say?
Density functional theory data (PBE) for crystalline Tm2AgHg2 at its relaxed geometry.

POSCAR file:
```
Tm2AgHg2
1.0
-1.728 -3.987 3.895
1.920 -4.627 -3.885
6.005 4.447 2.843
Tm Ag Hg
4 2 4
Direct
0.331 0.537 0.663
0.169 0.875 0.337
0.831 0.125 0.663
0.669 0.463 0.337
0.750 0.500 0.000
0.250 0.500 0.000
0.105 0.268 0.211
0.395 0.057 0.789
0.895 0.732 0.789
0.605 0.943 0.211
```

Uncorrected energy, hartree per atom: -0.0996
Formation energy, eV/f.u.: -1.154
DOS at the Fermi energy, states/eV/f.u.: 3.33
M_tot, μB per atom: 0.000
SG: Ibam